(1)
6
Lattice="5.375 -1.328 0.000 5.375 1.328 0.000 -1.926 0.000 7.155" Properties=species:S:1:pos:R:3 comment="ScW5 PBE relaxed" spacegroup="No. 8" volume_a3_per_cell=102.16 relative_energy_mev_per_atom=313 magmom_total_mub_per_cell=0.00 total_energy_ev_per_atom=-11.399 formation_energy_ev_per_atom=0.451 pbc="T T T"
Sc 0.000 0.000 0.000
W -0.610 0.000 4.549
W 2.169 0.000 4.681
W 3.619 0.000 2.154
W 6.390 0.000 2.407
W 6.056 0.000 6.912



(2)
4
Lattice="4.943 0.000 0.000 0.000 4.943 0.000 0.000 0.000 4.347" Properties=species:S:1:pos:R:3 comment="GdPaSn2 PBE relaxed" spacegroup="No. 123" volume_a3_per_cell=106.24 relative_energy_mev_per_atom=33 magmom_total_mub_per_cell=8.56 total_energy_ev_per_atom=-8.284 formation_energy_ev_per_atom=-0.388 pbc="T T T"
Gd 0.000 0.000 0.000
Pa 2.472 2.472 0.000
Sn 0.000 2.472 2.174
Sn 2.472 0.000 2.174



(3)
9
Lattice="7.173 0.000 0.000 -3.587 6.212 0.000 0.000 0.000 3.967" Properties=species:S:1:pos:R:3 comment="Pa2AgS6 PBE relaxed" spacegroup="No. 189" volume_a3_per_cell=176.79 relative_energy_mev_per_atom=150 magmom_total_mub_per_cell=0.00 total_energy_ev_per_atom=-6.186 formation_energy_uncorrected_ev_per_atom=-1.008 pbc="T T T"
Pa 0.000 4.142 0.000
Pa 3.587 2.071 0.000
Ag 0.000 0.000 1.984
S -0.924 1.601 0.000
S -2.023 3.505 1.984
S 1.848 0.000 0.000
S 1.563 2.708 1.984
S 4.047 0.000 1.984
S 2.662 4.612 0.000



(4)
4
Lattice="1.584 0.914 9.048 -1.584 0.914 9.048 0.000 -1.829 9.048" Properties=species:S:1:pos:R:3 comment="Gd2TaH PBE relaxed" spacegroup="No. 166" volume_a3_per_cell=78.63 magmom_total_mub_per_cell=14.71 total_energy_ev_per_atom=-10.450 pbc="T T T"
Gd 0.000 0.000 2.976
Gd 0.000 0.000 24.168
Ta 0.000 0.000 0.000
H 0.000 0.000 13.572



(5)
8
Lattice="-1.342 4.333 4.992 1.342 -4.333 4.992 1.342 4.333 -4.992" Properties=species:S:1:pos:R:3 comment="CrIr3Rh4 PBE relaxed" spacegroup="No. 71" volume_a3_per_cell=116.13 relative_energy_mev_per_atom=0 magmom_total_mub_per_cell=1.00 total_energy_ev_per_atom=-8.056 formation_energy_ev_per_atom=0.146 pbc="T T T"
Cr 0.000 0.000 0.000
Ir 1.342 0.000 2.108
Ir 0.000 0.000 4.992
Ir 0.000 4.333 2.884
Rh 1.342 -2.104 3.710
Rh 0.000 2.229 1.282
Rh 1.342 2.104 3.710
Rh 0.000 6.436 1.282



(6)
6
Lattice="5.185 0.000 0.000 -2.593 4.491 0.000 0.000 0.000 6.368" Properties=species:S:1:pos:R:3 comment="Er3AlCd2 PBE relaxed" spacegroup="No. 164" volume_a3_per_cell=148.27 relative_energy_mev_per_atom=6 magmom_total_mub_per_cell=0.00 total_energy_ev_per_atom=-3.544 formation_energy_ev_per_atom=-0.334 pbc="T T T"
Er 0.000 0.000 0.000
Er 0.000 2.994 4.191
Er 2.593 1.497 2.177
Al 0.000 0.000 3.184
Cd 0.000 2.994 1.013
Cd 2.593 1.497 5.355



(7)
9
Lattice="6.291 -3.830 0.000 6.291 3.830 0.000 -1.429 0.000 7.993" Properties=species:S:1:pos:R:3 comment="Ac6Pr2Dy PBE relaxed" spacegroup="No. 12" volume_a3_per_cell=385.15 magmom_total_mub_per_cell=0.00 total_energy_ev_per_atom=-4.118 formation_energy_ev_per_atom=0.194 pbc="T T T"
Ac 3.981 1.971 5.199
Ac 0.768 0.000 6.890
Ac 7.172 1.971 2.794
Ac 3.981 -1.971 5.199
Ac 10.385 0.000 1.102
Ac 7.172 -1.971 2.794
Pr 4.009 0.000 2.135
Pr 7.144 0.000 5.857
Dy 6.291 0.000 0.000



(8)
5
Lattice="6.787 0.000 0.000 0.000 6.787 0.000 0.000 0.000 6.787" Properties=species:S:1:pos:R:3 comment="Rb3MnTc PBE relaxed" spacegroup="No. 221" volume_a3_per_cell=312.70 magmom_total_mub_per_cell=8.42 total_energy_ev_per_atom=-2.760 formation_energy_ev_per_atom=1.727 pbc="T T T"
Rb 0.000 0.000 3.394
Rb 0.000 3.394 0.000
Rb 3.394 0.000 0.000
Mn 0.000 0.000 0.000
Tc 3.394 3.394 3.394



Which formula does entry 7 have?
Ac6Pr2Dy



What is the formula in the fourth record?
Gd2TaH